(1)
Material: Ta2GaReHg
Method: DFT, PBE
State: optimized geometry

Results
Calculated formation energy, eV per atom: 1.669
Total moment, μB/cell: 1.29
Crystal system: tetragonal

```
Ta2GaReHg
1.0
4.752 0.000 0.000
0.000 4.752 0.000
0.000 0.000 4.587
Ta Ga Re Hg
2 1 1 1
direct
0.000 0.500 0.000 Ta
0.500 0.000 0.000 Ta
0.000 0.000 0.000 Ga
0.500 0.500 0.500 Re
0.000 0.000 0.500 Hg
```

---

(2)
Material: AcAg2SnTe4
Method: DFT, PBE
State: optimized geometry

Results
Formation energy without anion corrections, meV per atom: -498
Total moment, μB/cell: 0.00
Crystal system: orthorhombic

```
AcAg2SnTe4
1.0
-3.900 3.941 4.192
3.900 -3.941 4.192
3.900 3.941 -4.192
Ac Ag Sn Te
1 2 1 4
direct
0.000 0.000 0.000 Ac
0.325 0.825 0.500 Ag
0.675 0.175 0.500 Ag
0.500 0.500 0.000 Sn
0.079 0.073 0.553 Te
0.480 0.927 0.006 Te
0.520 0.526 0.447 Te
0.921 0.474 0.994 Te
```

---

(3)
Material: Cr2HgSb
Method: DFT, PBE
State: optimized geometry

Results
Formation energy without anion corrections, meV per atom: 437
Total moment, μB/cell: 7.84
Relative energy among the computed polymorphs, meV per atom: 148
Crystal system: orthorhombic

```
Cr2HgSb
1.0
3.266 -3.271 0.000
3.266 3.271 0.000
0.000 0.000 3.708
Cr Hg Sb
2 1 1
direct
0.000 0.500 0.000 Cr
0.500 0.000 0.000 Cr
0.000 0.000 0.500 Hg
0.500 0.500 0.500 Sb
```

---

(4)
Material: TiZn2Sn
Method: DFT, PBE
State: optimized geometry

Results
Calculated formation energy, eV per atom: -0.109
Total moment, μB/cell: 0.02
Crystal system: tetragonal

```
TiZn2Sn
1.0
-1.982 1.982 4.441
1.982 -1.982 4.441
1.982 1.982 -4.441
Ti Zn Sn
1 2 1
direct
0.000 0.000 0.000 Ti
0.500 0.500 0.000 Zn
0.750 0.250 0.500 Zn
0.250 0.750 0.500 Sn
```

---

(5)
Material: TaAgS3
Method: DFT, PBE
State: optimized geometry

Results
Formation energy without anion corrections, meV per atom: 1098
Total moment, μB/cell: 1.65
Relative energy among the computed polymorphs, meV per atom: 1758
Crystal system: cubic

```
TaAgS3
1.0
4.691 0.000 0.000
0.000 4.691 0.000
0.000 0.000 4.691
Ta Ag S
1 1 3
direct
0.000 0.000 0.000 Ta
0.500 0.500 0.500 Ag
0.000 0.500 0.500 S
0.500 0.000 0.500 S
0.500 0.500 0.000 S
```

---

(6)
Material: Tb3Bi5Te12
Method: DFT, PBE
State: optimized geometry

Results
Formation energy without anion corrections, meV per atom: -478
Total moment, μB/cell: 0.00
Crystal system: cubic

```
Tb3Bi5Te12
1.0
-9.194 9.194 9.194
9.194 -9.194 9.194
9.194 9.194 -9.194
Tb Bi Te
12 20 48
direct
0.125 0.250 0.375 Tb
0.125 0.375 0.750 Tb
0.250 0.375 0.125 Tb
0.250 0.875 0.625 Tb
0.375 0.125 0.250 Tb
0.375 0.750 0.125 Tb
0.625 0.250 0.875 Tb
0.625 0.875 0.750 Tb
0.750 0.125 0.375 Tb
0.750 0.625 0.875 Tb
0.875 0.625 0.250 Tb
0.875 0.750 0.625 Tb
0.000 0.000 0.000 Bi
0.000 0.000 0.500 Bi
0.000 0.500 0.000 Bi
0.000 0.500 0.500 Bi
0.125 0.750 0.875 Bi
0.125 0.875 0.250 Bi
0.250 0.125 0.875 Bi
0.250 0.625 0.375 Bi
0.375 0.250 0.625 Bi
0.375 0.625 0.750 Bi
0.500 0.000 0.000 Bi
0.500 0.000 0.500 Bi
0.500 0.500 0.000 Bi
0.500 0.500 0.500 Bi
0.625 0.375 0.250 Bi
0.625 0.750 0.375 Bi
0.750 0.375 0.625 Bi
0.750 0.875 0.125 Bi
0.875 0.125 0.750 Bi
0.875 0.250 0.125 Bi
0.058 0.225 0.141 Te
0.058 0.332 0.916 Te
0.084 0.641 0.416 Te
0.084 0.725 0.668 Te
0.084 0.859 0.416 Te
0.084 0.942 0.668 Te
0.141 0.058 0.225 Te
0.141 0.584 0.916 Te
0.168 0.225 0.584 Te
0.168 0.442 0.584 Te
0.225 0.141 0.058 Te
0.225 0.584 0.168 Te
0.275 0.332 0.916 Te
0.275 0.442 0.359 Te
0.332 0.916 0.058 Te
0.332 0.916 0.275 Te
0.359 0.275 0.442 Te
0.359 0.584 0.916 Te
0.416 0.084 0.641 Te
0.416 0.084 0.859 Te
0.416 0.832 0.558 Te
0.416 0.832 0.775 Te
0.442 0.359 0.275 Te
0.442 0.584 0.168 Te
0.558 0.416 0.832 Te
0.558 0.641 0.725 Te
0.584 0.168 0.225 Te
0.584 0.168 0.442 Te
0.584 0.916 0.141 Te
0.584 0.916 0.359 Te
0.641 0.416 0.084 Te
0.641 0.725 0.558 Te
0.668 0.084 0.725 Te
0.668 0.084 0.942 Te
0.725 0.558 0.641 Te
0.725 0.668 0.084 Te
0.775 0.416 0.832 Te
0.775 0.859 0.942 Te
0.832 0.558 0.416 Te
0.832 0.775 0.416 Te
0.859 0.416 0.084 Te
0.859 0.942 0.775 Te
0.916 0.058 0.332 Te
0.916 0.141 0.584 Te
0.916 0.275 0.332 Te
0.916 0.359 0.584 Te
0.942 0.668 0.084 Te
0.942 0.775 0.859 Te
```

---

(7)
Material: Pa2Zn3Pt
Method: DFT, PBE
State: optimized geometry

Results
Calculated formation energy, eV per atom: -0.402
Total moment, μB/cell: 0.84
Crystal system: orthorhombic

```
Pa2Zn3Pt
1.0
0.000 4.568 7.928
3.187 0.000 7.928
3.187 4.568 0.000
Pa Zn Pt
4 6 2
direct
0.227 0.773 0.773 Pa
0.250 0.250 0.250 Pa
0.750 0.750 0.750 Pa
0.773 0.227 0.227 Pa
0.175 0.660 0.340 Zn
0.336 0.336 0.664 Zn
0.340 0.825 0.175 Zn
0.660 0.175 0.825 Zn
0.664 0.664 0.336 Zn
0.825 0.340 0.660 Zn
0.167 0.167 0.833 Pt
0.833 0.833 0.167 Pt
```

---

(8)
Material: Al2ZnCd2Ag5
Method: DFT, PBE
State: optimized geometry

Results
Calculated formation energy, eV per atom: 0.056
Total moment, μB/cell: 0.00
Crystal system: tetragonal

```
Al2ZnCd2Ag5
1.0
10.077 0.000 0.000
0.000 10.077 0.000
0.000 0.000 3.693
Al Zn Cd Ag
4 2 4 10
direct
0.137 0.363 0.000 Al
0.363 0.863 0.000 Al
0.637 0.137 0.000 Al
0.863 0.637 0.000 Al
0.000 0.000 0.000 Zn
0.500 0.500 0.000 Zn
0.172 0.672 0.000 Cd
0.328 0.172 0.000 Cd
0.672 0.828 0.000 Cd
0.828 0.328 0.000 Cd
0.000 0.500 0.500 Ag
0.032 0.201 0.500 Ag
0.201 0.968 0.500 Ag
0.299 0.468 0.500 Ag
0.468 0.701 0.500 Ag
0.500 0.000 0.500 Ag
0.532 0.299 0.500 Ag
0.701 0.532 0.500 Ag
0.799 0.032 0.500 Ag
0.968 0.799 0.500 Ag
```

---

(9)
Material: SrAlAu3
Method: DFT, PBE
State: optimized geometry

Results
Calculated formation energy, eV per atom: -0.571
Total moment, μB/cell: 0.00
Relative energy among the computed polymorphs, meV per atom: 0
Crystal system: orthorhombic

```
SrAlAu3
1.0
9.006 0.000 0.000
0.000 4.608 0.000
0.000 0.000 10.698
Sr Al Au
4 4 12
direct
0.186 0.250 0.010 Sr
0.314 0.750 0.510 Sr
0.686 0.250 0.490 Sr
0.814 0.750 0.990 Sr
0.093 0.250 0.349 Al
0.407 0.750 0.849 Al
0.593 0.250 0.151 Al
0.907 0.750 0.651 Al
0.060 0.250 0.587 Au
0.123 0.750 0.806 Au
0.167 0.750 0.225 Au
0.333 0.250 0.725 Au
0.377 0.250 0.306 Au
0.440 0.750 0.087 Au
0.560 0.250 0.913 Au
0.623 0.750 0.694 Au
0.667 0.750 0.275 Au
0.833 0.250 0.775 Au
0.877 0.250 0.194 Au
0.940 0.750 0.413 Au
```

---

(10)
Material: Al2GaIr2
Method: DFT, PBE
State: optimized geometry

Results
Calculated formation energy, eV per atom: -0.493
Total moment, μB/cell: 0.00
Relative energy among the computed polymorphs, meV per atom: 146
Crystal system: tetragonal

```
Al2GaIr2
1.0
7.372 0.000 0.000
0.000 7.372 0.000
0.000 0.000 2.810
Al Ga Ir
4 2 4
direct
0.137 0.363 0.000 Al
0.363 0.863 0.000 Al
0.637 0.137 0.000 Al
0.863 0.637 0.000 Al
0.000 0.000 0.000 Ga
0.500 0.500 0.000 Ga
0.157 0.657 0.500 Ir
0.343 0.157 0.500 Ir
0.657 0.843 0.500 Ir
0.843 0.343 0.500 Ir
```

---

(11)
Material: Pm2SbRh2
Method: DFT, PBE
State: optimized geometry

Results
Formation energy without anion corrections, meV per atom: -871
Total moment, μB/cell: 0.00
Crystal system: monoclinic

```
Pm2SbRh2
1.0
5.092 -2.803 0.000
5.092 2.803 0.000
-2.123 0.000 7.874
Pm Sb Rh
4 2 4
direct
0.003 0.698 0.849 Pm
0.302 0.997 0.651 Pm
0.698 0.003 0.349 Pm
0.997 0.302 0.151 Pm
0.333 0.667 0.250 Sb
0.667 0.333 0.750 Sb
0.233 0.496 0.501 Rh
0.496 0.233 0.001 Rh
0.504 0.767 0.999 Rh
0.767 0.504 0.499 Rh
```

---

(12)
Material: Nd6Sm3Th2
Method: DFT, PBE
State: optimized geometry

Results
Calculated formation energy, eV per atom: 0.025
Total moment, μB/cell: 0.00
Crystal system: trigonal

```
Nd6Sm3Th2
1.0
1.822 1.052 32.834
-1.822 1.052 32.834
0.000 -2.104 32.834
Nd Sm Th
6 3 2
direct
0.092 0.092 0.092 Nd
0.183 0.183 0.183 Nd
0.364 0.364 0.364 Nd
0.636 0.636 0.636 Nd
0.817 0.817 0.817 Nd
0.908 0.908 0.908 Nd
0.000 0.000 0.000 Sm
0.273 0.273 0.273 Sm
0.727 0.727 0.727 Sm
0.455 0.455 0.455 Th
0.545 0.545 0.545 Th
```

---

(13)
Material: Pr6Ge2RuBr3
Method: DFT, PBE
State: optimized geometry

Results
Formation energy without anion corrections, meV per atom: -1017
Total moment, μB/cell: 0.00
Crystal system: monoclinic

```
Pr6Ge2RuBr3
1.0
9.671 -2.122 0.000
9.671 2.122 0.000
-2.540 0.000 8.791
Pr Ge Ru Br
6 2 1 3
direct
0.005 0.005 0.218 Pr
0.325 0.325 0.433 Pr
0.352 0.352 0.897 Pr
0.648 0.648 0.103 Pr
0.675 0.675 0.567 Pr
0.995 0.995 0.782 Pr
0.165 0.165 0.339 Ge
0.835 0.835 0.661 Ge
0.500 0.500 0.000 Ru
0.173 0.173 0.836 Br
0.500 0.500 0.500 Br
0.827 0.827 0.164 Br
```

---

(14)
Material: Li2LaPm
Method: DFT, PBE
State: optimized geometry

Results
Calculated formation energy, eV per atom: 0.153
Total moment, μB/cell: 0.63
Relative energy among the computed polymorphs, meV per atom: 2
Crystal system: cubic

```
Li2LaPm
1.0
0.000 3.843 3.843
3.843 0.000 3.843
3.843 3.843 0.000
Li La Pm
2 1 1
direct
0.250 0.250 0.250 Li
0.750 0.750 0.750 Li
0.000 0.000 0.000 La
0.500 0.500 0.500 Pm
```

---

(15)
Material: SiP2RuN
Method: DFT, PBE
State: optimized geometry

Results
Formation energy without anion corrections, meV per atom: -36
Total moment, μB/cell: 0.00
Relative energy among the computed polymorphs, meV per atom: 291
Crystal system: triclinic

```
SiP2RuN
1.0
3.014 0.000 0.000
0.824 4.304 0.000
1.270 0.797 5.444
Si P Ru N
1 2 1 1
direct
0.000 0.000 0.000 Si
0.100 0.442 0.709 P
0.721 0.388 0.406 P
0.375 0.951 0.335 Ru
0.124 0.792 0.753 N
```

---

(16)
Material: BaAcLa2Se4
Method: DFT, PBE
State: optimized geometry

Results
Formation energy without anion corrections, meV per atom: -1950
Total moment, μB/cell: 0.00
Crystal system: monoclinic

```
BaAcLa2Se4
1.0
7.685 0.000 0.000
0.000 4.409 0.000
-2.522 0.000 7.299
Ba Ac La Se
1 1 2 4
direct
0.000 0.000 0.000 Ba
0.500 0.500 0.000 Ac
0.000 0.500 0.500 La
0.500 0.000 0.500 La
0.251 0.000 0.737 Se
0.262 0.500 0.268 Se
0.738 0.500 0.732 Se
0.749 0.000 0.263 Se
```

---

(17)
Material: LiP2Br
Method: DFT, PBE
State: optimized geometry

Results
Formation energy without anion corrections, meV per atom: 566
Total moment, μB/cell: 0.00
Relative energy among the computed polymorphs, meV per atom: 1065
Crystal system: tetragonal

```
LiP2Br
1.0
4.924 0.000 0.000
0.000 4.924 0.000
0.000 0.000 2.984
Li P Br
1 2 1
direct
0.000 0.000 0.000 Li
0.000 0.500 0.500 P
0.500 0.000 0.500 P
0.500 0.500 0.000 Br
```

---

(18)
Material: TaSbTe2H
Method: DFT, PBE
State: optimized geometry

Results
Total moment, μB/cell: 0.00
Relative energy among the computed polymorphs, meV per atom: 0
Crystal system: tetragonal

```
TaSbTe2H
1.0
5.288 0.000 0.000
0.000 5.288 0.000
0.000 0.000 3.623
Ta Sb Te H
1 1 2 1
direct
0.000 0.000 0.000 Ta
0.500 0.500 0.000 Sb
0.000 0.500 0.500 Te
0.500 0.000 0.500 Te
0.000 0.000 0.500 H
```

---

(19)
Material: RbTl3Fe4Cl12
Method: DFT, PBE
State: optimized geometry

Results
Formation energy without anion corrections, meV per atom: -877
Total moment, μB/cell: 16.00
Crystal system: trigonal

```
RbTl3Fe4Cl12
1.0
7.533 4.349 4.024
-7.533 4.349 4.024
0.000 -8.699 4.024
Rb Tl Fe Cl
1 3 4 12
direct
0.000 0.000 0.000 Rb
0.000 0.531 0.469 Tl
0.469 0.000 0.531 Tl
0.531 0.469 0.000 Tl
0.035 0.500 0.965 Fe
0.500 0.500 0.500 Fe
0.500 0.965 0.035 Fe
0.965 0.035 0.500 Fe
0.029 0.652 0.824 Cl
0.112 0.888 0.500 Cl
0.176 0.348 0.971 Cl
0.348 0.971 0.176 Cl
0.354 0.646 0.500 Cl
0.500 0.112 0.888 Cl
0.500 0.354 0.646 Cl
0.646 0.500 0.354 Cl
0.652 0.824 0.029 Cl
0.824 0.029 0.652 Cl
0.888 0.500 0.112 Cl
0.971 0.176 0.348 Cl
```

---

(20)
Material: MnSiGe2
Method: DFT, PBE
State: optimized geometry

Results
Formation energy without anion corrections, meV per atom: 560
Total moment, μB/cell: 3.51
Relative energy among the computed polymorphs, meV per atom: 638
Crystal system: trigonal

```
MnSiGe2
1.0
1.419 0.819 9.899
-1.419 0.819 9.899
0.000 -1.638 9.899
Mn Si Ge
1 1 2
direct
0.000 0.000 0.000 Mn
0.500 0.500 0.500 Si
0.085 0.085 0.085 Ge
0.915 0.915 0.915 Ge
```